Record 1
The following is a DFT calculation (PBEsol) of AlCuBr2N after structural relaxation.

Geometry as CIF:
```
data_AlCuBr2N
_chemical_formula_sum 'Al1 Cu1 Br2 N1'
_symmetry_space_group_name_H-M 'P 1'
_symmetry_Int_Tables_number 1
_cell_length_a 4.9705
_cell_length_b 4.9705
_cell_length_c 4.7789
_cell_angle_alpha 90.00
_cell_angle_beta 90.00
_cell_angle_gamma 90.00
loop_
_symmetry_equiv_pos_as_xyz
'x,y,z'
loop_
_atom_site_label
_atom_site_type_symbol
_atom_site_fract_x
_atom_site_fract_y
_atom_site_fract_z
N1 N 0.5000 0.5000 0.5000
Cu1 Cu 0.0000 0.0000 0.0000
Br1 Br 0.0000 0.5000 0.0000
Br2 Br 0.5000 0.0000 0.0000
Al1 Al 0.0000 0.0000 0.5000
```

Summary:
As for the volume: 23.6 Å³/atom. The symmetry is P4/mmm (123). The value obtained for the formation energy (no corrections) is 1.03 eV per atom. The calculation puts the electronic total energy at -3.11 eV/atom. Its total magnetization is 2.974 μB/f.u.

---

Record 2
The following is a DFT calculation (PBEsol) of AlBrF2 after structural relaxation.

Geometry as CIF:
```
data_AlBrF2
_chemical_formula_sum 'Al2 Br2 F4'
_symmetry_space_group_name_H-M 'P 1'
_symmetry_Int_Tables_number 1
_cell_length_a 5.6419
_cell_length_b 5.6419
_cell_length_c 5.6419
_cell_angle_alpha 60.00
_cell_angle_beta 60.00
_cell_angle_gamma 60.00
loop_
_symmetry_equiv_pos_as_xyz
'x,y,z'
loop_
_atom_site_label
_atom_site_type_symbol
_atom_site_fract_x
_atom_site_fract_y
_atom_site_fract_z
Al1 Al 0.2500 0.2500 0.2500
Al2 Al 0.0000 0.0000 0.0000
Br1 Br 0.7500 0.7500 0.7500
Br2 Br 0.5000 0.5000 0.5000
F1 F 0.1250 0.1250 0.6250
F2 F 0.1250 0.1250 0.1250
F3 F 0.6250 0.1250 0.1250
F4 F 0.1250 0.6250 0.1250
```

Summary:
As for the volume: 15.9 Å³/atom. The symmetry is Fd-3m (227). The value obtained for the formation energy (no corrections) is -2.32 eV per atom. The calculation puts the electronic total energy at -4.77 eV/atom. Its total magnetization is 0.000 μB/f.u.